This record from the Alexandria database describes a relaxed Sr2LiZrCrO6 crystal. The functional is GGA+U.

The space group is P1 (No. 1) and the conventional cell measures 5.712, 5.828 and 5.874 Å, with angles of 61.14, 89.91 and 60.84 degrees. The distinct sites, in fractional coordinates, are Sr at (0.000, 0.000, 0.000), Sr at (0.445, 0.140, 0.408), Li at (0.773, 0.544, 0.574), Zr at (0.213, 0.583, 0.666), Cr at (0.701, 0.588, 0.132), O at (0.404, 0.596, 0.945), O at (0.460, 0.637, 0.393), O at (0.490, 0.082, 0.878), O at (0.907, 0.549, 0.856), O at (0.923, 0.091, 0.399) and O at (0.993, 0.568, 0.360).

As for the spin magnetization: 2.99 μB per cell. The calculation puts the final energy at -7.215 eV per atom. As for the energy above the most stable polymorph in this dataset: 0 meV/atom.